VASP calculation (PBE-GGA) on Ac2Nd3Sn2 after structural relaxation.

The final energy is -33.67 eV/cell. As for the symmetry: No. 12. The density of states at the Fermi level comes out at 9.39 states/eV/f.u. The formation energy is -0.4496 eV/atom.

abc: 6.789 6.789 9.109
angles: 109.81 109.81 40.28
Fractional positions:
Ac  0.144  0.144  0.300
Ac  0.856  0.856  0.700
Nd  0.370  0.370  0.054
Nd  0.500  0.500  0.500
Nd  0.630  0.630  0.946
Sn  0.159  0.159  0.710
Sn  0.841  0.841  0.290

***

VASP calculation (PBE-GGA) on Zr8ScPa2 after structural relaxation.

The final energy is -91.69 eV/cell. As for the symmetry: No. 1. The density of states at the Fermi level comes out at 17.38 states/eV/f.u. The formation energy is 0.1836 eV/atom.

abc: 3.156 8.603 10.807
angles: 111.85 98.38 90.09
Fractional positions:
Zr  0.000  0.000  0.000
Zr  0.107  0.551  0.213
Zr  0.233  0.062  0.462
Zr  0.369  0.688  0.728
Zr  0.484  0.302  0.966
Zr  0.607  0.880  0.212
Zr  0.739  0.719  0.474
Zr  0.851  0.344  0.696
Sc  0.647  0.277  0.293
Pa  0.361  0.019  0.721
Pa  0.982  0.627  0.957

***

Q: Which of these has the highest final energy?
A: Ac2Nd3Sn2

***

Q: Which formula does entry 1 have?
A: Ac2Nd3Sn2

***

Q: What is the final energy in the first record?
A: -33.67 eV/cell

***

Q: Look up the final energy of the first one.
A: -33.67 eV/cell